[1]
! Sc2FeAuC (PBE, relaxed); values from VASP
! - Volume: 15.46 Å³/atom
! - Uncorrected energy: -36.26 eV for the cell shown
&SYSTEM
  ibrav = 0, nat = 5, ntyp = 4
/
ATOMIC_SPECIES
Sc 44.96 Sc.upf
Fe 55.84 Fe.upf
Au 196.97 Au.upf
C 12.01 C.upf
ATOMIC_POSITIONS crystal
Sc 0.000 0.500 0.000
Sc 0.500 0.000 0.000
Fe 0.000 0.000 0.500
Au 0.500 0.500 0.500
C 0.000 0.000 0.000
CELL_PARAMETERS angstrom
4.607 0.000 0.000
0.000 4.607 0.000
0.000 0.000 3.643

[2]
! Sc4FeAuC2 (PBE, relaxed); values from VASP
! - Volume: 16.24 Å³/atom
! - Uncorrected energy: -57.97 eV for the cell shown
&SYSTEM
  ibrav = 0, nat = 8, ntyp = 4
/
ATOMIC_SPECIES
Sc 44.96 Sc.upf
Fe 55.84 Fe.upf
Au 196.97 Au.upf
C 12.01 C.upf
ATOMIC_POSITIONS crystal
Sc 0.000 0.000 0.152
Sc 0.000 0.000 0.848
Sc 0.333 0.667 0.333
Sc 0.333 0.667 0.667
Fe 0.333 0.667 0.000
Au 0.000 0.000 0.500
C 0.667 0.333 0.248
C 0.667 0.333 0.752
CELL_PARAMETERS angstrom
3.324 0.000 0.000
-1.662 2.878 0.000
0.000 0.000 13.582

[3]
! FeW4AuC2 (PBE, relaxed); values from VASP
! - Volume: 13.44 Å³/atom
! - Uncorrected energy: -80.35 eV for the cell shown
&SYSTEM
  ibrav = 0, nat = 8, ntyp = 4
/
ATOMIC_SPECIES
Fe 55.84 Fe.upf
W 183.84 W.upf
Au 196.97 Au.upf
C 12.01 C.upf
ATOMIC_POSITIONS crystal
Fe 0.000 0.000 0.000
W 0.000 0.000 0.325
W 0.000 0.000 0.675
W 0.667 0.333 0.149
W 0.667 0.333 0.851
Au 0.667 0.333 0.500
C 0.333 0.667 0.239
C 0.333 0.667 0.761
CELL_PARAMETERS angstrom
3.038 0.000 0.000
-1.519 2.631 0.000
0.000 0.000 13.446

[4]
! Y2FeAuC (PBE, relaxed); values from VASP
! - Volume: 18.35 Å³/atom
! - Uncorrected energy: -36.32 eV for the cell shown
&SYSTEM
  ibrav = 0, nat = 5, ntyp = 4
/
ATOMIC_SPECIES
Y 88.91 Y.upf
Fe 55.84 Fe.upf
Au 196.97 Au.upf
C 12.01 C.upf
ATOMIC_POSITIONS crystal
Y 0.000 0.500 0.000
Y 0.500 0.000 0.000
Fe 0.000 0.000 0.500
Au 0.500 0.500 0.500
C 0.000 0.000 0.000
CELL_PARAMETERS angstrom
5.003 0.000 0.000
0.000 5.003 0.000
0.000 0.000 3.666

[5]
! Lu4GaAuC2 (PBE, relaxed); values from VASP
! - Volume: 19.42 Å³/atom
! - Uncorrected energy: -47.02 eV for the cell shown
&SYSTEM
  ibrav = 0, nat = 8, ntyp = 4
/
ATOMIC_SPECIES
Lu 174.97 Lu.upf
Ga 69.72 Ga.upf
Au 196.97 Au.upf
C 12.01 C.upf
ATOMIC_POSITIONS crystal
Lu 0.000 0.000 0.155
Lu 0.000 0.000 0.845
Lu 0.333 0.667 0.337
Lu 0.333 0.667 0.663
Ga 0.000 0.000 0.500
Au 0.333 0.667 0.000
C 0.667 0.333 0.241
C 0.667 0.333 0.759
CELL_PARAMETERS angstrom
3.539 0.000 0.000
-1.770 3.065 0.000
0.000 0.000 14.323

[6]
! GaMo4AuC2 (PBE, relaxed); values from VASP
! - Volume: 13.90 Å³/atom
! - Uncorrected energy: -68.28 eV for the cell shown
&SYSTEM
  ibrav = 0, nat = 8, ntyp = 4
/
ATOMIC_SPECIES
Ga 69.72 Ga.upf
Mo 95.94 Mo.upf
Au 196.97 Au.upf
C 12.01 C.upf
ATOMIC_POSITIONS crystal
Ga 0.000 0.000 0.000
Mo 0.000 0.000 0.327
Mo 0.000 0.000 0.673
Mo 0.333 0.667 0.158
Mo 0.333 0.667 0.842
Au 0.333 0.667 0.500
C 0.667 0.333 0.245
C 0.667 0.333 0.755
CELL_PARAMETERS angstrom
3.094 0.000 0.000
-1.547 2.680 0.000
0.000 0.000 13.409

[7]
! Sc4GaAuC2 (PBE, relaxed); values from VASP
! - Volume: 17.06 Å³/atom
! - Uncorrected energy: -54.67 eV for the cell shown
&SYSTEM
  ibrav = 0, nat = 8, ntyp = 4
/
ATOMIC_SPECIES
Sc 44.96 Sc.upf
Ga 69.72 Ga.upf
Au 196.97 Au.upf
C 12.01 C.upf
ATOMIC_POSITIONS crystal
Sc 0.000 0.000 0.159
Sc 0.000 0.000 0.841
Sc 0.667 0.333 0.335
Sc 0.667 0.333 0.665
Ga 0.000 0.000 0.500
Au 0.667 0.333 0.000
C 0.333 0.667 0.242
C 0.333 0.667 0.758
CELL_PARAMETERS angstrom
3.362 0.000 0.000
-1.681 2.912 0.000
0.000 0.000 13.943

[8]
! GaW4AuC2 (PBE, relaxed); values from VASP
! - Volume: 13.92 Å³/atom
! - Uncorrected energy: -75.33 eV for the cell shown
&SYSTEM
  ibrav = 0, nat = 8, ntyp = 4
/
ATOMIC_SPECIES
Ga 69.72 Ga.upf
W 183.84 W.upf
Au 196.97 Au.upf
C 12.01 C.upf
ATOMIC_POSITIONS crystal
Ga 0.000 0.000 0.000
W 0.000 0.000 0.328
W 0.000 0.000 0.672
W 0.333 0.667 0.158
W 0.333 0.667 0.842
Au 0.333 0.667 0.500
C 0.667 0.333 0.244
C 0.667 0.333 0.756
CELL_PARAMETERS angstrom
3.097 0.000 0.000
-1.549 2.682 0.000
0.000 0.000 13.404